YCoSe2 | GGA-PBE | relaxed

Values from the calculation:
- space-group type = R-3m (166)
- total DFT energy (no corrections) (eV/atom) = -5.518
- uncorrected formation energy (eV per formula unit) = -1.5

abc: 8.318 8.318 8.318
angles: 25.23 25.23 25.23
Atoms (fractional coordinates):
1 Y 0.000 0.000 0.000
2 Co 0.500 0.500 0.500
3 Se 0.117 0.117 0.117
4 Se 0.883 0.883 0.883